Computed, not measured: an optimized crystal structure of SmYTlZn at the PBE-GGA level of DFT.

Geometry as POSCAR:
```
SmYTlZn
1.0
5.287 0.000 0.000
2.643 4.578 0.000
2.643 1.526 4.316
Zn Y Sm Tl
1 1 1 1
Direct
0.250 0.250 0.250
0.500 0.500 0.500
0.000 0.000 0.000
0.750 0.750 0.750
```

Calculated values
Uncorrected energy ... -0.2978 Ry/atom
Space-group type ... No. 216
Polymorph energy (0 for the lowest one) ... 22 meV per atom
DFT formation energy ... -0.346 eV/atom
Fermi-level density of states ... 1.065 states/eV/atom



Computed, not measured: an optimized crystal structure of Sm8Tl2Zn at the PBE-GGA level of DFT.

Geometry as POSCAR:
```
Sm8Tl2Zn
1.0
5.280 0.000 0.000
0.000 6.857 0.143
-2.640 -2.731 9.196
Tl Sm Zn
2 8 1
Direct
0.180 0.748 0.360
0.820 0.252 0.640
0.654 0.984 0.307
0.987 0.225 0.973
0.206 0.309 0.412
0.409 0.535 0.817
0.013 0.775 0.027
0.591 0.465 0.183
0.346 0.016 0.693
0.794 0.691 0.588
0.500 0.000 0.000
```

Calculated values
Uncorrected energy ... -0.3039 Ry/atom
Space-group type ... No. 12
Polymorph energy (0 for the lowest one) ... 29 meV per atom
DFT formation energy ... -0.157 eV/atom
Fermi-level density of states ... 1.098 states/eV/atom



Computed, not measured: an optimized crystal structure of SmTlZn4 at the PBE-GGA level of DFT.

Geometry as POSCAR:
```
SmTlZn4
1.0
-2.250 5.072 -0.259
-1.169 2.271 -4.932
-5.286 0.615 -1.591
Sm Zn Tl
1 4 1
Direct
0.250 0.250 0.250
0.128 0.624 0.624
0.624 0.624 0.624
0.624 0.128 0.624
0.624 0.624 0.128
0.000 0.000 0.000
```

Calculated values
Uncorrected energy ... -0.1573 Ry/atom
Space-group type ... No. 216
DFT formation energy ... -0.110 eV/atom
Fermi-level density of states ... 0.805 states/eV/atom



Computed, not measured: an optimized crystal structure of Sm4Tl3Zn at the PBE-GGA level of DFT.

Geometry as POSCAR:
```
Sm4Tl3Zn
1.0
-1.993 -3.596 -1.520
2.603 -2.586 2.706
-8.001 0.841 8.502
Sm Tl Zn
4 3 1
Direct
0.500 0.500 0.349
0.000 0.500 0.869
0.500 0.000 0.643
0.000 0.000 0.138
0.000 0.500 0.590
0.500 0.000 0.919
0.000 0.000 0.411
0.500 0.500 0.081
```

Calculated values
Uncorrected energy ... -0.2721 Ry/atom
Space-group type ... No. 25
Polymorph energy (0 for the lowest one) ... 75 meV per atom
DFT formation energy ... -0.296 eV/atom
Fermi-level density of states ... 1.114 states/eV/atom



Computed, not measured: an optimized crystal structure of Sm3TlZn8 at the PBE-GGA level of DFT.

Geometry as POSCAR:
```
Sm3TlZn8
1.0
-2.255 4.948 1.170
-5.515 0.673 -0.255
-3.276 -0.481 8.937
Zn Sm Tl
8 3 1
Direct
0.940 0.429 0.692
0.187 0.187 0.440
0.440 0.939 0.182
0.939 0.440 0.182
0.689 0.689 0.933
0.429 0.940 0.692
0.940 0.940 0.692
0.440 0.440 0.182
0.377 0.377 0.868
0.503 0.503 0.490
0.995 0.995 0.016
0.872 0.872 0.383
```

Calculated values
Uncorrected energy ... -0.1816 Ry/atom
Space-group type ... No. 160
DFT formation energy ... -0.244 eV/atom
Fermi-level density of states ... 0.556 states/eV/atom



Computed, not measured: an optimized crystal structure of Sm3Tl3Zn2 at the PBE-GGA level of DFT.

Geometry as POSCAR:
```
Sm3Tl3Zn2
1.0
-3.472 6.635 -2.405
-4.334 -6.398 1.467
-0.413 1.133 3.721
Sm Zn Tl
3 2 3
Direct
0.000 0.608 0.500
0.392 0.392 0.500
0.608 0.000 0.500
0.667 0.333 0.000
0.333 0.667 0.000
0.000 0.251 0.000
0.749 0.749 0.000
0.251 0.000 0.000
```

Calculated values
Uncorrected energy ... -0.2408 Ry/atom
Space-group type ... No. 189
DFT formation energy ... -0.301 eV/atom
Fermi-level density of states ... 0.962 states/eV/atom



Computed, not measured: an optimized crystal structure of Sm4TlZn2 at the PBE-GGA level of DFT.

Geometry as POSCAR:
```
Sm4TlZn2
1.0
4.952 0.000 1.547
2.234 4.419 1.547
-0.043 -0.026 8.837
Sm Zn Tl
4 2 1
Direct
0.614 0.614 0.157
0.386 0.386 0.843
0.867 0.867 0.398
0.133 0.133 0.602
0.254 0.254 0.238
0.746 0.746 0.762
0.000 0.000 0.000
```

Calculated values
Uncorrected energy ... -0.2637 Ry/atom
Space-group type ... No. 166
Polymorph energy (0 for the lowest one) ... 0 meV per atom
DFT formation energy ... -0.190 eV/atom
Fermi-level density of states ... 1.180 states/eV/atom



Computed, not measured: an optimized crystal structure of Sm6Tl5Zn at the PBE-GGA level of DFT.

Geometry as POSCAR:
```
Sm6Tl5Zn
1.0
-1.121 3.741 3.783
-2.401 -5.492 4.720
6.979 1.127 4.862
Sm Tl Zn
6 5 1
Direct
0.500 0.242 0.000
0.837 0.245 0.326
0.163 0.755 0.674
0.837 0.755 0.326
0.500 0.758 0.000
0.163 0.245 0.674
0.668 0.500 0.664
0.334 0.000 0.331
0.666 0.000 0.669
0.332 0.500 0.336
0.000 0.500 0.000
0.000 0.000 0.000
```

Calculated values
Uncorrected energy ... -0.2805 Ry/atom
Space-group type ... No. 65
DFT formation energy ... -0.365 eV/atom
Fermi-level density of states ... 0.908 states/eV/atom



Computed, not measured: an optimized crystal structure of Sm4TlZn at the PBE-GGA level of DFT.

Geometry as POSCAR:
```
Sm4TlZn
1.0
-0.917 -2.514 2.516
2.717 -2.172 -1.181
8.147 5.560 8.522
Zn Sm Tl
1 4 1
Direct
0.000 0.000 0.000
0.000 0.000 0.335
0.500 0.500 0.862
0.000 0.000 0.665
0.500 0.500 0.138
0.500 0.500 0.500
```

Calculated values
Uncorrected energy ... -0.2910 Ry/atom
Space-group type ... No. 123
Polymorph energy (0 for the lowest one) ... 0 meV per atom
DFT formation energy ... -0.207 eV/atom
Fermi-level density of states ... 1.340 states/eV/atom



Computed, not measured: an optimized crystal structure of Sm4TlZn at the PBE-GGA level of DFT.

Geometry as POSCAR:
```
Sm4TlZn
1.0
-3.484 3.710 0.533
-3.225 -2.597 -3.007
-2.776 -3.461 5.963
Zn Sm Tl
1 4 1
Direct
0.001 0.997 0.498
0.501 0.997 0.265
0.501 0.998 0.731
0.001 0.497 0.731
0.001 0.497 0.265
0.501 0.497 0.998
```

Calculated values
Uncorrected energy ... -0.2758 Ry/atom
Space-group type ... No. 123
Polymorph energy (0 for the lowest one) ... 208 meV per atom
DFT formation energy ... 0.001 eV/atom
Fermi-level density of states ... 1.832 states/eV/atom



Computed, not measured: an optimized crystal structure of Sm8Tl2Zn at the PBE-GGA level of DFT.

Geometry as POSCAR:
```
Sm8Tl2Zn
1.0
5.163 0.000 -1.478
-0.114 6.798 -0.399
-0.058 0.106 9.553
Sm Tl Zn
8 2 1
Direct
0.664 0.906 0.329
0.336 0.094 0.671
0.590 0.408 0.179
0.030 0.766 0.060
0.410 0.592 0.821
0.211 0.603 0.421
0.970 0.234 0.940
0.789 0.397 0.579
0.157 0.153 0.314
0.843 0.847 0.686
0.500 0.000 0.000
```

Calculated values
Uncorrected energy ... -0.3060 Ry/atom
Space-group type ... No. 12
Polymorph energy (0 for the lowest one) ... 0 meV per atom
DFT formation energy ... -0.185 eV/atom
Fermi-level density of states ... 1.116 states/eV/atom



Computed, not measured: an optimized crystal structure of Sm5TlZn4 at the PBE-GGA level of DFT.

Geometry as POSCAR:
```
Sm5TlZn4
1.0
-1.169 3.103 -1.532
-2.839 -1.785 -1.448
-10.197 3.746 15.374
Sm Zn Tl
5 4 1
Direct
0.500 0.500 0.500
0.500 0.500 0.693
0.500 0.500 0.116
0.500 0.500 0.307
0.500 0.500 0.884
0.000 0.000 0.788
0.000 0.000 0.403
0.000 0.000 0.212
0.000 0.000 0.597
0.000 0.000 0.000
```

Calculated values
Uncorrected energy ... -0.2525 Ry/atom
Space-group type ... No. 123
DFT formation energy ... -0.330 eV/atom
Fermi-level density of states ... 1.221 states/eV/atom